No. 1
Computed, not measured: a relaxed Be2FeCu crystal at the GGA-PBE level of DFT.

## Properties
The formation energy comes out at 0.34 eV/atom. As for the total magnetization: 0.43 μB per atom. Its space group is No. 122.

Cell: 5.8854 5.8854 4.8081 Å, 52.26 52.26 90.00°
Atoms (fractional coordinates):
Be: 0.6286 0.1250 0.2500
Be: 0.1214 0.6250 0.2500
Be: 0.3750 0.3714 0.7500
Be: 0.8750 0.8786 0.7500
Fe: 0.5000 0.5000 0.0000
Fe: 0.2500 0.7500 0.5000
Cu: 0.0000 0.0000 0.0000
Cu: 0.7500 0.2500 0.5000

=====

No. 2
Computed, not measured: a relaxed RbBaLiF2 crystal at the GGA-PBE level of DFT.

## Properties
As for the total magnetization: 0.00 μB per atom. Its space group is No. 123. For the uncorrected formation energy, the calculation gives -1.889 eV per atom.

Cell: 5.1307 7.3131 5.1307 Å, 90.00 90.00 90.00°
Atoms (fractional coordinates):
Li: 0.0000 0.5000 0.0000
Ba: 0.0000 0.0000 0.0000
Rb: 0.5000 0.5000 0.5000
F: 0.0000 0.0000 0.5000
F: 0.5000 0.0000 0.0000

=====

Please write out number 2 again, unchanged.
Computed, not measured: a relaxed RbBaLiF2 crystal at the GGA-PBE level of DFT.

## Properties
As for the total magnetization: 0.00 μB per atom. Its space group is No. 123. For the uncorrected formation energy, the calculation gives -1.889 eV per atom.

Cell: 5.1307 7.3131 5.1307 Å, 90.00 90.00 90.00°
Atoms (fractional coordinates):
Li: 0.0000 0.5000 0.0000
Ba: 0.0000 0.0000 0.0000
Rb: 0.5000 0.5000 0.5000
F: 0.0000 0.0000 0.5000
F: 0.5000 0.0000 0.0000

=====

Copy entry 1 word for word.
Computed, not measured: a relaxed Be2FeCu crystal at the GGA-PBE level of DFT.

## Properties
The formation energy comes out at 0.34 eV/atom. As for the total magnetization: 0.43 μB per atom. Its space group is No. 122.

Cell: 5.8854 5.8854 4.8081 Å, 52.26 52.26 90.00°
Atoms (fractional coordinates):
Be: 0.6286 0.1250 0.2500
Be: 0.1214 0.6250 0.2500
Be: 0.3750 0.3714 0.7500
Be: 0.8750 0.8786 0.7500
Fe: 0.5000 0.5000 0.0000
Fe: 0.2500 0.7500 0.5000
Cu: 0.0000 0.0000 0.0000
Cu: 0.7500 0.2500 0.5000

=====

Please write out number 2 again, unchanged.
Computed, not measured: a relaxed RbBaLiF2 crystal at the GGA-PBE level of DFT.

## Properties
As for the total magnetization: 0.00 μB per atom. Its space group is No. 123. For the uncorrected formation energy, the calculation gives -1.889 eV per atom.

Cell: 5.1307 7.3131 5.1307 Å, 90.00 90.00 90.00°
Atoms (fractional coordinates):
Li: 0.0000 0.5000 0.0000
Ba: 0.0000 0.0000 0.0000
Rb: 0.5000 0.5000 0.5000
F: 0.0000 0.0000 0.5000
F: 0.5000 0.0000 0.0000

=====

Question: The highest total magnetization belongs to which entry?
Answer: Be2FeCu